(1)
DyEr2HfN4 | PBE | optimized geometry

Results
total magnetic moment: 0.000 μB/cell
crystal system: monoclinic
V: 13.6 A^3/atom
electronic total energy: -0.65534 Ry per atom
energy relative to the elements, uncorrected: -1794 meV/atom

POSCAR file:
```
DyEr2HfN4
1.0
3.366 0.000 0.000
0.000 5.845 0.115
0.000 -2.031 5.471
Dy Er N Hf
1 2 4 1
Cartesian
1.683 2.922 0.057
1.683 -1.016 2.736
0.000 1.907 2.793
0.000 -0.143 4.170
1.683 0.888 1.319
0.000 3.957 1.416
1.683 2.926 4.267
0.000 0.000 0.000
```

=====

(2)
AlCrNi | PBE | optimized geometry

Results
total magnetic moment: 1.956 μB/cell
crystal system: orthorhombic
V: 12.8 A^3/atom
electronic total energy: -0.47216 Ry per atom
E_form: -0.04 eV/atom

POSCAR file:
```
AlCrNi
1.0
2.176 -2.231 3.784
-3.322 1.165 3.412
-0.788 -2.332 -4.240
Cr Ni Al
2 2 2
Cartesian
-0.967 -1.699 1.478
1.088 -1.116 1.892
-0.573 -0.533 3.598
-2.055 -0.584 -0.414
-2.849 0.142 2.503
0.914 -3.541 0.453
```

=====

(3)
CaHgMo2 | PBE | optimized geometry

Results
total magnetic moment: 0.000 μB/cell
crystal system: tetragonal
V: 22.0 A^3/atom
electronic total energy: -0.35794 Ry per atom
E_form: 1.12 eV/atom

POSCAR file:
```
CaHgMo2
1.0
8.180 0.000 0.000
0.000 8.180 0.000
4.090 4.090 2.629
Ca Hg Mo
2 2 4
Cartesian
4.090 8.180 1.314
4.090 4.090 0.000
0.000 0.000 0.000
8.180 4.090 1.314
6.447 2.045 0.657
1.733 6.135 0.657
10.225 10.537 1.972
6.135 5.823 1.972
```

=====

(4)
KRb6O4 | PBE | optimized geometry

Results
total magnetic moment: 2.177 μB/cell
crystal system: hexagonal
V: 25.7 A^3/atom
electronic total energy: -0.24579 Ry per atom
energy relative to the elements, uncorrected: -914 meV/atom

POSCAR file:
```
KRb6O4
1.0
7.070 0.000 0.000
0.000 8.319 -4.803
0.000 0.000 9.606
K O Rb
2 8 12
Cartesian
1.622 5.546 0.000
5.157 2.773 4.803
6.147 1.517 6.979
6.147 1.517 2.627
2.612 6.802 -2.176
6.147 5.546 0.000
2.613 2.773 4.803
2.612 6.802 2.176
2.612 3.034 0.000
6.147 5.285 4.803
4.409 7.661 0.000
0.875 3.831 2.971
0.875 3.831 6.635
6.867 7.164 -2.803
3.332 1.155 2.000
0.875 0.658 4.803
4.409 4.488 1.832
3.332 6.009 4.803
4.409 4.488 -1.832
6.867 7.164 2.803
6.867 2.310 0.000
3.332 1.155 7.606
```

=====

(5)
GeBIN2 | PBE | optimized geometry

Results
total magnetic moment: 0.000 μB/cell
crystal system: tetragonal
V: 19.1 A^3/atom
electronic total energy: -0.30414 Ry per atom
energy relative to the elements, uncorrected: 1761 meV/atom
energy above the most stable polymorph in this dataset: 0.0 meV/atom

POSCAR file:
```
GeBIN2
1.0
-1.770 -2.627 -1.836
2.032 -2.542 1.677
-4.819 -0.405 5.225
I B Ge N
1 1 1 2
Cartesian
-2.409 -0.202 2.612
-2.279 -2.787 2.533
0.000 0.000 0.000
-0.885 -1.313 -0.918
1.016 -1.271 0.839
```

=====

(6)
Ac4TlCd | PBE | optimized geometry

Results
total magnetic moment: 0.004 μB/cell
crystal system: tetragonal
V: 42.2 A^3/atom
electronic total energy: -0.24327 Ry per atom
E_form: -0.02 eV/atom
energy above the most stable polymorph in this dataset: 173.7 meV/atom

POSCAR file:
```
Ac4TlCd
1.0
-5.454 0.107 1.379
-1.022 -4.090 -3.727
1.321 -5.496 5.663
Ac Tl Cd
4 1 1
Cartesian
-3.420 -5.409 -1.598
-0.182 -3.419 -0.425
0.467 -6.125 2.363
-2.770 -8.117 1.188
-1.924 -7.466 4.491
-0.368 -6.817 -0.895
```

=====

(7)
Y4Er5Sc | PBE | optimized geometry

Results
total magnetic moment: 0.024 μB/cell
crystal system: tetragonal
V: 31.8 A^3/atom
electronic total energy: -0.38778 Ry per atom
E_form: 0.22 eV/atom
energy above the most stable polymorph in this dataset: 188.7 meV/atom

POSCAR file:
```
Y4Er5Sc
1.0
-2.208 -2.263 -4.771
-6.272 -4.652 1.675
-5.644 4.744 -3.071
Y Er Sc
4 5 1
Cartesian
-9.797 -1.678 -4.619
-6.837 0.718 -3.693
-7.062 -2.657 -1.988
-4.102 -0.261 -1.061
-9.683 1.266 -6.124
-4.252 -3.243 0.366
-3.805 0.024 -4.822
-10.130 -2.001 -0.936
-1.497 -1.534 -3.234
-0.458 -0.469 -0.990
```

=====

(8)
Ba2PrAu | PBE | optimized geometry

Results
total magnetic moment: 0.030 μB/cell
crystal system: tetragonal
V: 40.3 A^3/atom
electronic total energy: -0.23442 Ry per atom
E_form: -0.21 eV/atom
energy above the most stable polymorph in this dataset: 0.0 meV/atom

POSCAR file:
```
Ba2PrAu
1.0
3.988 0.000 0.000
0.000 3.988 0.000
0.000 0.000 10.129
Ba Pr Au
2 1 1
Cartesian
0.000 0.000 8.156
0.000 0.000 1.973
1.994 1.994 5.065
1.994 1.994 0.000
```

=====

(9)
CrReBAu | PBE | optimized geometry

Results
total magnetic moment: 0.002 μB/cell
crystal system: triclinic
V: 13.1 A^3/atom
electronic total energy: -0.56433 Ry per atom
E_form: 0.33 eV/atom
energy above the most stable polymorph in this dataset: 191.3 meV/atom

POSCAR file:
```
CrReBAu
1.0
-1.234 -1.967 -1.756
1.671 -2.200 3.693
-4.124 2.196 0.465
Re Au B Cr
1 1 1 1
Cartesian
-2.235 -1.183 0.781
-0.445 -3.093 1.661
-0.203 -0.688 1.209
-3.768 0.630 -0.148
```

=====

(10)
Ta2Ni2Sb | PBE | optimized geometry

Results
total magnetic moment: 0.000 μB/cell
crystal system: tetragonal
V: 17.5 A^3/atom
electronic total energy: -0.56739 Ry per atom
energy relative to the elements, uncorrected: 158 meV/atom
energy above the most stable polymorph in this dataset: 275.1 meV/atom

POSCAR file:
```
Ta2Ni2Sb
1.0
-2.108 3.488 -0.531
-1.292 -1.339 -3.664
-5.843 -1.087 0.152
Ni Ta Sb
2 2 1
Cartesian
-6.653 0.452 -2.429
-2.590 0.610 -1.614
-4.825 1.738 -1.238
-4.417 -0.676 -2.805
0.000 0.000 0.000
```

=====

(11)
ZrSi2Ru2 | PBE | optimized geometry

Results
total magnetic moment: 0.000 μB/cell
crystal system: tetragonal
V: 14.8 A^3/atom
electronic total energy: -0.60115 Ry per atom
energy relative to the elements, uncorrected: -590 meV/atom

POSCAR file:
```
ZrSi2Ru2
1.0
-4.209 -5.795 0.547
0.477 -1.016 -7.095
2.311 -1.642 0.390
Si Ru Zr
4 4 2
Cartesian
-0.425 -1.184 -2.466
-2.633 -3.861 -0.653
-3.308 -5.627 -4.081
-1.100 -2.950 -5.894
-1.170 -5.446 -5.487
-2.259 -6.109 -1.829
0.838 -2.344 -4.327
-0.251 -3.006 -0.670
-1.866 -3.405 -3.274
0.000 0.000 0.000
```

=====

(12)
Tb3CeNd4S8 | PBE | optimized geometry

Results
total magnetic moment: 0.106 μB/cell
crystal system: trigonal
V: 22.8 A^3/atom
electronic total energy: -0.47923 Ry per atom
energy relative to the elements, uncorrected: -2026 meV/atom

POSCAR file:
```
Tb3CeNd4S8
1.0
8.006 0.000 0.000
0.000 8.032 0.013
-4.003 -3.999 5.665
S Tb Nd Ce
8 3 4 1
Cartesian
5.985 2.060 0.054
0.000 0.081 2.886
2.021 2.060 0.054
-1.982 1.973 5.624
4.003 3.953 2.791
0.000 3.953 2.819
1.982 1.973 5.624
4.003 0.080 2.859
2.001 2.017 2.839
4.003 4.016 0.007
-2.001 2.017 2.839
0.000 0.000 0.000
4.003 0.000 0.000
-2.001 -1.999 2.832
2.001 -1.999 2.832
0.000 4.016 0.007
```